(1)
# Pr4Ge2Pt

A geometry-optimized Pr4Ge2Pt structure (GGA-PBE, Alexandria via LeMat-Bulk).

Computed properties:
Total magnetization (Bohr magnetons per cell): 0.0
Formation enthalpy at 0 K (eV per atom): -0.7926
Crystal system: orthorhombic
Total energy (eV per atom): -5.706

a b c (Å): 7.964 7.966 7.966
angles (deg): 110.22 110.19 108.02
Fractional positions:
Pr 0.005 0.251 0.378
Pr 0.377 0.499 0.254
Pr 0.873 0.628 0.622
Pr 0.749 0.127 0.754
Pr 0.372 0.995 0.246
Pr 0.245 0.123 0.746
Pr 0.501 0.755 0.878
Pr 0.878 0.623 0.122
Ge 0.511 0.375 0.636
Ge 0.739 0.875 0.364
Ge 0.625 0.261 0.136
Ge 0.125 0.489 0.864
Pt 0.250 0.750 0.500
Pt 0.000 0.000 0.000

=====

(2)
# PrGePt4

A geometry-optimized PrGePt4 structure (GGA-PBE, Alexandria via LeMat-Bulk).

Computed properties:
Total magnetization (Bohr magnetons per cell): 0.0
Formation enthalpy at 0 K (eV per atom): -0.7369
Crystal system: orthorhombic
Total energy (eV per atom): -6.330
Relative energy among the computed polymorphs (eV/f.u.): 0.00

a b c (Å): 4.013 6.941 8.157
angles (deg): 90.00 104.24 90.00
Fractional positions:
Pr 0.102 0.250 0.203
Pr 0.898 0.750 0.797
Ge 0.240 0.750 0.480
Ge 0.760 0.250 0.520
Pt 0.500 0.500 0.000
Pt 0.500 0.000 0.000
Pt 0.679 0.951 0.358
Pt 0.321 0.049 0.642
Pt 0.321 0.451 0.642
Pt 0.679 0.549 0.358
Pt 0.081 0.750 0.163
Pt 0.919 0.250 0.837

=====

(3)
# Pr3GePt3

A geometry-optimized Pr3GePt3 structure (GGA-PBE, Alexandria via LeMat-Bulk).

Computed properties:
Total magnetization (Bohr magnetons per cell): 0.0
Formation enthalpy at 0 K (eV per atom): -1.0365
Crystal system: monoclinic
Total energy (eV per atom): -6.333

a b c (Å): 4.263 5.879 14.338
angles (deg): 85.97 81.45 68.74
Fractional positions:
Pr 0.528 0.331 0.614
Pr 0.472 0.669 0.386
Pr 0.254 0.262 0.229
Pr 0.746 0.738 0.771
Pr 0.396 0.284 0.924
Pr 0.604 0.716 0.076
Ge 0.764 0.076 0.397
Ge 0.236 0.924 0.603
Pt 0.861 0.732 0.547
Pt 0.139 0.268 0.453
Pt 0.123 0.831 0.923
Pt 0.877 0.169 0.077
Pt 0.970 0.825 0.234
Pt 0.030 0.175 0.766

=====

(4)
# PrGe12Pt4

A geometry-optimized PrGe12Pt4 structure (GGA-PBE, Alexandria via LeMat-Bulk).

Computed properties:
Total magnetization (Bohr magnetons per cell): 0.0
Formation enthalpy at 0 K (eV per atom): -0.3974
Crystal system: cubic
Total energy (eV per atom): -5.359

a b c (Å): 7.558 7.558 7.558
angles (deg): 109.47 109.47 109.47
Fractional positions:
Pr 0.000 0.000 0.000
Ge 0.355 0.204 0.849
Ge 0.645 0.796 0.151
Ge 0.645 0.494 0.849
Ge 0.355 0.506 0.151
Ge 0.204 0.849 0.355
Ge 0.796 0.151 0.645
Ge 0.494 0.849 0.645
Ge 0.506 0.151 0.355
Ge 0.849 0.355 0.204
Ge 0.151 0.645 0.796
Ge 0.849 0.645 0.494
Ge 0.151 0.355 0.506
Pt 0.000 0.000 0.500
Pt 0.500 0.000 0.000
Pt 0.000 0.500 0.000
Pt 0.500 0.500 0.500

=====

(5)
# Pr4Ge3Pt

A geometry-optimized Pr4Ge3Pt structure (GGA-PBE, Alexandria via LeMat-Bulk).

Computed properties:
Total magnetization (Bohr magnetons per cell): 0.0
Formation enthalpy at 0 K (eV per atom): -0.8745
Crystal system: orthorhombic
Total energy (eV per atom): -5.751

a b c (Å): 4.343 4.229 11.301
angles (deg): 90.00 90.00 90.00
Fractional positions:
Pr 0.500 0.500 0.356
Pr 0.000 0.500 0.865
Pr 0.000 0.000 0.133
Pr 0.500 0.000 0.641
Ge 0.000 0.500 0.581
Ge 0.000 0.000 0.424
Ge 0.500 0.000 0.919
Pt 0.500 0.500 0.082

=====

(6)
# Pr3Ge4Pt2

A geometry-optimized Pr3Ge4Pt2 structure (GGA-PBE, Alexandria via LeMat-Bulk).

Computed properties:
Total magnetization (Bohr magnetons per cell): 0.0
Formation enthalpy at 0 K (eV per atom): -0.9668
Crystal system: monoclinic
Total energy (eV per atom): -5.955

a b c (Å): 4.358 6.061 8.527
angles (deg): 101.00 90.00 111.07
Fractional positions:
Pr 0.665 0.331 0.662
Pr 0.000 0.000 0.000
Pr 0.335 0.669 0.338
Ge 0.729 0.459 0.071
Ge 0.271 0.541 0.929
Ge 0.944 0.888 0.614
Ge 0.056 0.112 0.386
Pt 0.604 0.209 0.276
Pt 0.396 0.791 0.724